Entry 1:
Density functional theory data (PBE) for a relaxed structure of LaSm3Y6Sc2.

Geometry as extended XYZ:
```
12
Lattice="6.146 0.000 0.009 -3.071 5.323 0.009 -1.036 -1.793 11.594" Properties=species:S:1:pos:R:3 pbc="T T T"
La 0.000 0.000 0.000
Sm -2.047 3.536 5.807
Sm 4.086 -0.006 5.807
Sm 1.019 1.765 5.807
Y 3.072 1.738 8.758
Y 2.038 3.530 2.866
Y -1.033 1.792 2.855
Y -0.030 3.530 8.758
Y 0.000 0.001 8.747
Y 2.069 0.001 2.855
Sc 0.001 3.549 0.009
Sc 3.074 1.775 0.009
```

**E**: -5.835 eV/atom
**Space-group type**: No. 12
**Theoretical density**: 5309 kg/m3
**Formation energy from the elements**: 43 meV/atom

Entry 2:
Density functional theory data (PBE) for a relaxed structure of La5SmY2Sc.

Geometry as extended XYZ:
```
18
Lattice="7.561 0.000 0.000 0.000 9.146 0.000 0.000 0.000 9.146" Properties=species:S:1:pos:R:3 pbc="T T T"
La 3.780 4.573 4.573
La 3.780 0.000 0.000
La 1.627 1.888 6.461
La 1.627 7.258 2.685
La 1.627 2.685 1.888
La 1.627 6.461 7.258
La 5.934 1.888 6.461
La 5.934 6.461 7.258
La 5.934 7.258 2.685
La 5.934 2.685 1.888
Sm 0.000 4.573 4.573
Sm 0.000 0.000 0.000
Y 3.780 5.611 1.038
Y 3.780 1.038 3.535
Y 3.780 8.108 5.611
Y 3.780 3.535 8.108
Sc 0.000 0.000 4.573
Sc 0.000 4.573 0.000
```

**E**: -5.100 eV/atom
**Space-group type**: No. 127
**Theoretical density**: 5606 kg/m3
**Formation energy from the elements**: 301 meV/atom

Entry 3:
Density functional theory data (PBE) for a relaxed structure of LaSm2Y5Sc.

Geometry as extended XYZ:
```
18
Lattice="5.632 0.000 0.000 -2.816 9.957 0.000 0.000 0.000 10.455" Properties=species:S:1:pos:R:3 pbc="T T T"
La 2.816 1.716 9.941
La 0.000 8.241 4.714
Sm 2.816 7.743 8.506
Sm 0.000 2.282 7.667
Sm 0.000 2.214 3.279
Sm 2.816 7.675 2.439
Y 0.000 7.388 0.209
Y 2.816 4.509 8.693
Y 0.000 9.583 7.707
Y 0.000 5.880 7.354
Y 2.816 9.623 5.429
Y 2.816 2.569 5.437
Y 0.000 5.448 3.466
Y 2.816 0.374 2.480
Y 2.816 4.077 2.126
Y 0.000 0.335 0.202
Sc 2.816 6.093 5.381
Sc 0.000 3.864 0.154
```

**E**: -5.724 eV/atom
**Space-group type**: No. 36
**Theoretical density**: 5263 kg/m3
**Formation energy from the elements**: 167 meV/atom

Entry 4:
Density functional theory data (PBE) for a relaxed structure of LaSmYSc.

Geometry as extended XYZ:
```
4
Lattice="-3.257 -4.199 -1.937 0.324 -5.139 2.339 -4.274 -1.947 3.150" Properties=species:S:1:pos:R:3 pbc="T T T"
Y -5.405 -8.464 2.664
Sc -1.802 -2.821 0.888
Sm -3.604 -5.642 1.776
La 0.000 0.000 0.000
```

**E**: -5.515 eV/atom
**Space-group type**: No. 216
**Excess energy over the best structure of this formula in the dataset**: 8 meV/atom
**Theoretical density**: 5493 kg/m3
**Formation energy from the elements**: 95 meV/atom

Entry 5:
Density functional theory data (PBE) for a relaxed structure of LaSmYSc.

Geometry as extended XYZ:
```
4
Lattice="-3.081 0.369 2.266 -3.301 -2.256 -4.121 1.049 -4.012 5.356" Properties=species:S:1:pos:R:3 pbc="T T T"
La -1.444 -1.280 1.857
Sm -2.518 -3.983 4.198
Y -2.699 -4.879 0.832
Sc -4.657 -2.252 0.963
```

**E**: -5.523 eV/atom
**Space-group type**: No. 8
**Excess energy over the best structure of this formula in the dataset**: 0 meV/atom
**Theoretical density**: 5469 kg/m3
**Formation energy from the elements**: 88 meV/atom

Entry 6:
Density functional theory data (PBE) for a relaxed structure of La2SmY4Sc.

Geometry as extended XYZ:
```
8
Lattice="-4.261 1.321 2.459 -2.405 -4.001 -2.016 0.397 -9.656 5.876" Properties=species:S:1:pos:R:3 pbc="T T T"
La 0.397 -9.656 5.876
La -1.932 -4.167 4.168
Sm -2.936 -10.996 6.098
Y -1.520 -10.214 2.854
Y -4.749 -2.122 3.465
Y -3.821 -4.785 1.227
Y -2.448 -7.552 5.092
Sc -1.004 -6.829 1.930
```

**E**: -5.796 eV/atom
**Space-group type**: No. 123
**Theoretical density**: 5257 kg/m3
**Formation energy from the elements**: 50 meV/atom

Entry 7:
Density functional theory data (PBE) for a relaxed structure of La2Sm3Y6Sc.

Geometry as extended XYZ:
```
12
Lattice="6.217 -0.001 0.004 -3.108 5.385 0.004 -1.042 -1.805 11.689" Properties=species:S:1:pos:R:3 pbc="T T T"
La 0.007 3.585 0.004
La 3.102 1.798 0.004
Sm -2.076 3.585 5.848
Sm 4.143 -0.007 5.848
Sm 1.033 1.789 5.848
Y 3.095 1.808 8.774
Y 2.080 3.601 2.934
Y -1.028 1.771 2.923
Y 0.019 3.584 8.774
Y -0.013 -0.023 8.763
Y 2.048 -0.006 2.923
Sc 0.000 0.000 0.000
```

**E**: -5.735 eV/atom
**Space-group type**: No. 12
**Theoretical density**: 5547 kg/m3
**Formation energy from the elements**: 25 meV/atom

Entry 8:
Density functional theory data (PBE) for a relaxed structure of La2SmY5Sc.

Geometry as extended XYZ:
```
18
Lattice="-4.864 -0.701 -2.456 7.449 -3.566 -7.587 -0.579 -9.300 3.803" Properties=species:S:1:pos:R:3 pbc="T T T"
La 0.963 -10.510 -5.051
La 0.746 -7.861 0.768
La 1.019 -3.428 -1.038
La 1.264 -5.639 -7.036
Sm -1.427 -1.214 -2.971
Sm 3.713 -7.853 -5.110
Y 3.718 -2.983 -6.510
Y -0.671 -9.755 -2.031
Y -2.871 -7.401 1.654
Y 2.380 -8.622 -2.251
Y -0.294 -4.726 1.931
Y -1.432 -6.088 -1.570
Y 2.591 -5.176 -3.652
Y 4.867 -6.316 -7.833
Y -0.309 -3.896 -4.419
Y 2.579 -4.343 -10.012
Sc 0.153 -7.327 -4.356
Sc 2.132 -1.746 -3.723
```

**E**: -5.781 eV/atom
**Space-group type**: No. 36
**Theoretical density**: 5070 kg/m3
**Formation energy from the elements**: 133 meV/atom